Below is a relaxed structure of La2YNF, with properties calculated at the PBE level.

a = 4.7427 Å, b = 6.4920 Å, c = 4.7427 Å
α = 90.00°, β = 90.00°, γ = 90.00°
Last column: nearest neighbours and their distance in Å.
Sites, in units of the cell vectors:
1 Y 0.5000 0.5000 0.5000  4 F 3.35
2 N 0.0000 0.0000 0.0000  4 La 2.37
3 F 0.0000 0.5000 0.0000  2 N 3.25, 4 Y 3.35
4 La 0.0000 0.0000 0.5000  2 N 2.37
5 La 0.5000 0.0000 0.0000  2 N 2.37

Values from the calculation:
For the density of states at the Fermi level, the calculation gives 5.10 states/eV per cell. The value obtained for the total energy is -29.4 eV/cell. For the formation energy (no corrections), the calculation gives -274 kJ/mol of formula units.

=====

Below is a relaxed structure of LaZnN2F, with properties calculated at the PBE level.

a = 4.4433 Å, b = 4.4433 Å, c = 4.5887 Å
α = 90.00°, β = 90.00°, γ = 90.00°
Last column: nearest neighbours and their distance in Å.
Sites, in units of the cell vectors:
1 N 0.0000 0.5000 0.0000  2 La 2.22
2 N 0.5000 0.0000 0.0000  2 La 2.22
3 Zn 0.5000 0.5000 0.5000  4 F 3.14, 8 N 3.19
4 F 0.0000 0.0000 0.5000  2 La 2.29
5 La 0.0000 0.0000 0.0000  4 N 2.22, 2 F 2.29

Values from the calculation:
For the density of states at the Fermi level, the calculation gives 2.42 states/eV per cell. The value obtained for the total energy is -24.5 eV/cell. As for the energy above the lowest structure with this stoichiometry: 0.854 eV/atom. For the formation energy (no corrections), the calculation gives 25 kJ/mol of formula units.

=====

Below is a relaxed structure of LaZnN2F, with properties calculated at the PBE level.

a = 3.9203 Å, b = 3.9203 Å, c = 4.1868 Å
α = 90.00°, β = 90.00°, γ = 90.00°
Last column: nearest neighbours and their distance in Å.
Sites, in units of the cell vectors:
1 N 0.0000 0.5000 0.0000  2 Zn 1.96
2 N 0.5000 0.0000 0.0000  2 Zn 1.96
3 Zn 0.0000 0.0000 0.0000  4 N 1.96, 2 F 2.09
4 F 0.0000 0.0000 0.5000  2 Zn 2.09
5 La 0.5000 0.5000 0.5000  4 F 2.77, 8 N 2.87

Values from the calculation:
For the density of states at the Fermi level, the calculation gives 2.43 states/eV per cell. The value obtained for the total energy is -28.7 eV/cell. As for the energy above the lowest structure with this stoichiometry: 0.000 eV/atom. For the formation energy (no corrections), the calculation gives -387 kJ/mol of formula units.

=====

Below is a relaxed structure of LaZrNF2, with properties calculated at the PBE level.

a = 4.3087 Å, b = 4.3087 Å, c = 4.3394 Å
α = 90.00°, β = 90.00°, γ = 90.00°
Last column: nearest neighbours and their distance in Å.
Sites, in units of the cell vectors:
1 N 0.0000 0.0000 0.5000  2 Zr 2.17
2 F 0.0000 0.5000 0.0000  2 Zr 2.15
3 F 0.5000 0.0000 0.0000  2 Zr 2.15
4 Zr 0.0000 0.0000 0.0000  4 F 2.15, 2 N 2.17
5 La 0.5000 0.5000 0.5000  4 N 3.05, 8 F 3.06

Values from the calculation:
For the density of states at the Fermi level, the calculation gives 4.50 states/eV per cell. The value obtained for the total energy is -35.5 eV/cell. As for the energy above the lowest structure with this stoichiometry: 0.000 eV/atom. For the formation energy (no corrections), the calculation gives -957 kJ/mol of formula units.

=====

Below is a relaxed structure of LaZrNF2, with properties calculated at the PBE level.

a = 4.4462 Å, b = 4.4462 Å, c = 5.1469 Å
α = 90.00°, β = 90.00°, γ = 90.00°
Last column: nearest neighbours and their distance in Å.
Sites, in units of the cell vectors:
1 N 0.0000 0.0000 0.5000  2 La 2.57
2 F 0.0000 0.5000 0.0000  2 La 2.22
3 F 0.5000 0.0000 0.0000  2 La 2.22
4 Zr 0.5000 0.5000 0.5000  4 N 3.14, 8 F 3.40
5 La 0.0000 0.0000 0.0000  4 F 2.22

Values from the calculation:
For the density of states at the Fermi level, the calculation gives 5.74 states/eV per cell. The value obtained for the total energy is -32.1 eV/cell. As for the energy above the lowest structure with this stoichiometry: 0.670 eV/atom. For the formation energy (no corrections), the calculation gives -634 kJ/mol of formula units.

=====

Below is a relaxed structure of Na3La2F8, with properties calculated at the PBE level.

a = 3.9795 Å, b = 7.1642 Å, c = 7.2179 Å
α = 67.22°, β = 90.00°, γ = 90.00°
Last column: nearest neighbours and their distance in Å.
Sites, in units of the cell vectors:
1 Na 0.5000 0.0000 0.0000  8 F 2.30-2.52
2 Na 0.0000 0.7277 0.2807  6 F 2.27-2.54
3 Na 0.0000 0.2723 0.7193  6 F 2.27-2.54
4 La 0.5000 0.7254 0.7536  8 F 2.43-2.58
5 La 0.5000 0.2746 0.2464  8 F 2.43-2.58
6 F 0.0000 0.3717 0.3802  2 Na 2.27-2.37, 2 La 2.43
7 F 0.0000 0.6283 0.6198  2 Na 2.27-2.37, 2 La 2.43
8 F 0.0000 0.8857 0.8674  4 Na 2.48-2.75, 2 La 2.58, 2 F 2.73
9 F 0.0000 0.1143 0.1326  4 Na 2.48-2.75, 2 La 2.58, 2 F 2.73
10 F 0.5000 0.3475 0.8698  3 Na 2.30-2.43, 2 La 2.50-2.56
11 F 0.5000 0.8914 0.3770  2 La 2.51-2.53, 3 Na 2.52-2.54, 3 F 2.73-2.78
12 F 0.5000 0.1086 0.6230  2 La 2.51-2.53, 3 Na 2.52-2.54, 3 F 2.73-2.78
13 F 0.5000 0.6525 0.1302  3 Na 2.30-2.43, 2 La 2.50-2.56

Values from the calculation:
For the density of states at the Fermi level, the calculation gives 0.63 states/eV per cell. The value obtained for the total energy is -71.6 eV/cell. For the formation energy (no corrections), the calculation gives -4134 kJ/mol of formula units.

=====

Below is a relaxed structure of NaLa2F, with properties calculated at the PBE level.

a = 5.4481 Å, b = 5.4481 Å, c = 5.4481 Å
α = 60.00°, β = 60.00°, γ = 60.00°
Last column: nearest neighbours and their distance in Å.
Sites, in units of the cell vectors:
1 Na 0.5000 0.5000 0.5000  8 La 3.34
2 F 0.0000 0.0000 0.0000  8 La 3.34
3 La 0.2500 0.2500 0.2500  4 F 3.34, 4 Na 3.34
4 La 0.7500 0.7500 0.7500  4 F 3.34, 4 Na 3.34

Values from the calculation:
For the density of states at the Fermi level, the calculation gives 5.92 states/eV per cell. The value obtained for the total energy is -14.6 eV/cell. As for the energy above the lowest structure with this stoichiometry: 0.601 eV/atom. For the formation energy (no corrections), the calculation gives -150 kJ/mol of formula units.

=====

Below is a relaxed structure of NaLaF3, with properties calculated at the PBE level.

a = 5.9611 Å, b = 7.1872 Å, c = 7.7817 Å
α = 101.17°, β = 90.00°, γ = 90.00°
Last column: nearest neighbours and their distance in Å.
Sites, in units of the cell vectors:
1 Na 0.2459 0.9166 0.5706  5 F 2.30-2.41
2 Na 0.7541 0.0834 0.4294  5 F 2.30-2.41
3 Na 0.7459 0.0834 0.9294  5 F 2.30-2.41
4 Na 0.2541 0.9166 0.0706  5 F 2.30-2.41
5 La 0.7546 0.6133 0.1442  6 F 2.36-2.61
6 La 0.2454 0.3867 0.8558  6 F 2.36-2.61
7 La 0.2546 0.3867 0.3558  6 F 2.36-2.61
8 La 0.7454 0.6133 0.6442  6 F 2.36-2.61
9 F 0.1446 0.0699 0.3496  3 Na 2.30-2.41, 1 La 2.36
10 F 0.8554 0.9301 0.6504  3 Na 2.30-2.41, 1 La 2.36
11 F 0.6446 0.9301 0.1504  3 Na 2.30-2.41, 1 La 2.36
12 F 0.3554 0.0699 0.8496  3 Na 2.30-2.41, 1 La 2.36
13 F 0.5384 0.7352 0.4055  1 Na 2.40, 2 La 2.42-2.52, 2 F 2.56-2.65
14 F 0.4616 0.2648 0.5945  1 Na 2.40, 2 La 2.42-2.52, 2 F 2.56-2.65
15 F 0.0384 0.2648 0.0945  1 Na 2.40, 2 La 2.42-2.52, 2 F 2.56-2.65
16 F 0.9616 0.7352 0.9055  1 Na 2.40, 2 La 2.42-2.52, 2 F 2.56-2.65
17 F 0.3243 0.6215 0.6508  1 Na 2.37, 3 La 2.51-2.61, 2 F 2.56-2.65
18 F 0.6757 0.3785 0.3492  1 Na 2.37, 3 La 2.51-2.61, 2 F 2.56-2.65
19 F 0.8243 0.3785 0.8492  1 Na 2.37, 3 La 2.51-2.61, 2 F 2.56-2.65
20 F 0.1757 0.6215 0.1508  1 Na 2.37, 3 La 2.51-2.61, 2 F 2.56-2.65

Values from the calculation:
For the density of states at the Fermi level, the calculation gives 6.22 states/eV per cell. The value obtained for the total energy is -110.6 eV/cell. As for the energy above the lowest structure with this stoichiometry: 0.000 eV/atom. For the formation energy (no corrections), the calculation gives -1523 kJ/mol of formula units.

=====

Density readings, ordered: 4.5 4.6 6.5 5.8 4.6 4.4 4.6 4.4 g/cm³